(1)
VASP calculation (SCAN) on a PBEsol-optimized structure of MgH2Cl.

Cell and atoms, written as POSCAR:
```
MgH2Cl
1.0
3.9682 0.0000 0.0000
1.9841 3.4366 0.0000
1.9841 1.1455 3.2401
Mg Cl H
1 1 2
Cartesian
0.0000 0.0000 0.0000
3.9682 2.2911 1.6200
1.9841 1.1455 0.8100
5.9524 3.4366 2.4300
```

Properties
magnetization = 0.01 μB/f.u.
energy = -4.638 eV/atom

***

(2)
VASP calculation (SCAN) on a PBEsol-optimized structure of Mg2MnH24Cl6O12.

Cell and atoms, written as POSCAR:
```
Mg2MnH24Cl6O12
1.0
-1.5069 -9.4687 1.6945
7.6866 4.4886 3.9454
-6.0796 2.5650 8.9265
H O Cl Mg Mn
48 24 12 4 2
Cartesian
3.4697 3.5743 7.9240
1.3773 -2.6821 9.2214
-1.8098 -6.7858 5.0323
-2.6391 -4.0027 11.6119
-0.8108 1.2438 5.6783
-2.8268 2.3702 8.6108
-2.9445 1.4848 7.2922
-3.7329 -1.1110 8.9431
3.3769 -0.8500 6.8083
-1.8225 -2.3066 12.9115
1.6531 -1.6039 11.3111
2.2865 3.0120 6.0489
-3.1851 -6.8780 7.3197
1.4936 0.9001 1.3691
2.0422 -2.2413 3.3743
1.8033 1.8258 10.2726
-1.4988 -1.5109 3.7285
0.6104 -0.5316 5.9255
-4.4538 -4.1588 9.3279
-5.3174 0.2994 9.7824
2.0377 -6.5088 4.5975
-0.2593 2.9024 8.5584
2.5031 -1.6371 8.7631
3.5116 -4.6799 6.5586
0.6662 3.7433 7.6196
3.8915 0.0145 8.0033
-0.9299 -4.0132 3.1868
6.8893 2.5193 4.5788
2.9911 0.8361 10.0384
3.6287 2.2144 6.0993
-0.6800 -0.4766 7.9153
-3.1749 -0.3808 10.2063
-5.7106 -3.2315 9.2984
-1.1767 -4.9520 1.9609
4.6768 -3.5704 4.8217
0.2553 -0.9232 11.6563
-2.0121 -7.4098 3.5810
-0.5556 -0.7858 2.6696
2.3095 5.0485 9.8466
1.4503 -3.0940 4.5438
0.6287 -5.8549 4.7775
-1.8939 -2.9544 10.7253
-0.3208 0.1146 9.3176
1.6172 4.3144 11.0789
-6.0110 -4.9216 10.8103
-3.4454 -0.7008 5.3674
1.2268 0.5212 4.9499
2.2801 -3.7466 6.9446
2.8627 2.4871 6.6845
-3.9971 -0.8561 9.8752
1.8658 -3.1817 3.6401
0.7539 0.4594 5.8309
3.0052 -4.3146 7.3206
1.0072 -1.4505 12.0389
0.0914 -1.5296 0.7345
-2.4575 -7.2635 4.4474
4.7681 -4.5624 4.7912
-0.4942 -8.2270 2.2602
2.3140 -2.3907 9.3978
-2.5538 -3.0096 11.4770
-0.4569 -4.4464 2.4216
1.8707 5.2049 10.7146
-5.0958 -3.6978 9.9435
2.3312 1.3906 9.5453
-1.7293 1.6036 5.4962
3.8548 4.2729 8.5324
-3.4609 1.8504 8.0472
0.0584 -0.0283 8.4051
0.4348 2.8048 7.8474
1.3413 -6.0095 4.0955
3.0496 -0.4002 7.6415
-1.2049 -0.6220 3.3921
-0.5801 -3.5902 9.2335
-1.6208 3.4947 9.8859
2.1280 -0.0999 3.1730
-1.3889 0.1758 10.9975
-2.5482 -1.3019 7.2356
-2.2099 -3.2970 4.5342
0.7174 -2.5240 6.3057
4.7005 -1.4707 5.3190
-0.5624 -5.7893 6.3724
1.0290 2.5240 11.9695
-3.5576 -4.7643 7.5430
4.7983 2.0241 4.3814
-2.4470 1.0324 3.5929
1.5535 -4.8145 2.4508
-5.4868 2.3149 8.0561
1.5782 1.1204 7.6643
-1.5003 -3.5261 6.9346
4.6040 -0.1562 3.2216
```

Properties
magnetization = 5.00 μB/f.u.
energy = -6.466 eV/atom

***

(3)
VASP calculation (SCAN) on a PBEsol-optimized structure of MgMoH2Cl.

Cell and atoms, written as POSCAR:
```
MgMoH2Cl
1.0
-2.5026 -0.2423 2.6259
2.6363 -0.3201 2.4829
0.0856 4.7079 0.5161
Cl Mg H Mo
1 1 2 1
Cartesian
0.0428 2.3540 0.2580
0.1096 2.0727 2.8125
-1.2513 -0.1212 1.3130
1.3181 -0.1601 1.2415
0.0000 0.0000 0.0000
```

Properties
magnetization = 0.00 μB/f.u.
energy = -10.715 eV/atom

***

(4)
VASP calculation (SCAN) on a PBEsol-optimized structure of MgH2Cl2O.

Cell and atoms, written as POSCAR:
```
MgH2Cl2O
1.0
3.6232 0.0000 0.0000
0.0000 8.7972 0.0000
0.0000 0.0000 11.2649
Cl O Mg H
8 4 4 8
Cartesian
0.9058 4.0599 7.0291
0.9058 6.0967 1.1486
2.7174 7.0991 6.7811
0.9058 8.4585 9.8683
0.9058 1.6981 4.4838
2.7174 2.7005 10.1163
2.7174 0.3387 1.3966
2.7174 4.7373 4.2358
2.7174 1.3919 7.2617
0.9058 7.4053 4.0032
2.7174 5.7905 9.6357
0.9058 3.0067 1.6292
2.7174 7.1646 11.0856
0.9058 1.6326 0.1793
2.7174 2.7660 5.8117
0.9058 6.0312 5.4532
0.9058 2.7612 2.5882
0.9058 3.9927 1.5453
2.7174 6.0360 8.6767
2.7174 0.4059 7.1778
0.9058 7.1598 3.0443
0.9058 8.3913 4.0871
2.7174 4.8045 9.7196
2.7174 1.6374 8.2206
```

Properties
magnetization = 0.00 μB/f.u.
energy = -7.298 eV/atom

***

(5)
VASP calculation (SCAN) on a PBEsol-optimized structure of MgH16Cl2O8.

Cell and atoms, written as POSCAR:
```
MgH16Cl2O8
1.0
-2.2808 6.1570 -1.0563
-9.0477 -2.1860 6.7942
7.0129 4.4454 10.7693
O H Cl Mg
32 64 8 4
Cartesian
-0.7117 2.7094 10.2165
-9.7670 3.5749 7.1704
-2.8329 4.2228 10.7739
-4.5836 1.4732 4.6626
-0.6395 2.6160 16.1370
-3.9125 2.3893 1.9323
1.4460 4.5053 12.9627
-1.4827 4.1937 5.7333
-5.3360 6.9720 11.2690
-3.6038 5.7070 6.2907
1.0204 1.4444 5.2382
-5.7615 3.9112 3.5445
-5.3055 -0.7908 5.8680
0.2681 6.9433 11.8446
0.6807 1.6782 7.8202
5.4514 4.8415 9.3368
1.5795 3.6053 3.7829
0.9172 5.0893 6.2582
4.6577 8.6353 9.1664
1.1194 6.4983 3.7670
-4.9963 6.7383 8.6870
-5.4350 1.9182 12.7401
-2.2233 6.0482 8.9439
3.4930 6.4580 10.1440
-7.8086 1.9584 6.3632
-2.0923 2.3683 7.5633
-5.8951 4.8111 12.7243
0.9899 9.2073 10.6392
-0.4030 6.0271 14.5749
-3.6761 5.8005 0.3702
-5.2327 3.3271 10.2490
-8.9732 -0.2188 7.3408
-4.2918 3.6431 10.4373
-0.4734 2.3802 1.2568
-7.6942 4.7464 9.7057
4.1267 7.8804 9.5632
-0.9810 5.2270 1.1846
-6.7527 -1.4022 5.5369
-3.3346 3.1894 15.3225
-7.5961 1.7480 4.7857
0.8067 8.3246 11.0944
-1.7741 2.9883 6.8397
-8.4423 0.5360 6.9439
-2.9162 8.4950 14.1326
-5.1222 0.0918 5.4128
3.2805 6.6684 11.7215
4.2201 5.7953 9.9157
-3.9053 6.0053 5.3830
-0.0238 4.7734 6.0699
-5.3029 3.2494 9.2666
-2.0826 3.5748 10.5812
2.1618 4.0516 12.4233
0.1908 6.8170 3.9797
-2.8066 4.4098 11.7526
-5.2733 -0.6199 6.8495
-0.4102 2.4111 11.1242
-0.7300 8.1061 7.1457
-3.0681 2.5101 7.6163
-4.5064 1.5994 12.5275
0.9874 5.1670 7.2406
0.3258 6.2718 11.1033
-4.6413 2.1447 5.4039
3.3787 3.6700 6.8015
-2.2330 4.8417 5.9260
1.1804 2.3124 4.7472
-3.5856 0.3103 9.3614
0.8196 1.6231 6.8211
-6.8409 0.9665 9.9379
-3.8422 6.0362 15.2504
-5.4960 6.1041 11.7600
-3.1167 2.8606 2.2797
-5.1352 6.7933 9.6861
-8.5356 2.6212 6.5915
-1.1989 5.5559 14.2275
2.5254 7.4500 6.5693
0.1761 1.0598 4.8738
0.7839 3.7999 13.1610
-0.1089 3.4595 9.9319
-1.5089 4.0067 4.7546
-5.0995 4.6166 3.3462
-2.5414 5.4282 9.6675
-4.2067 4.9570 6.5753
-1.2474 5.9064 8.8909
-3.6153 1.2366 4.5473
-6.9583 2.3270 6.7303
-1.3994 -0.0785 2.3746
2.4371 9.8187 10.9703
4.9517 4.0354 9.0140
2.6428 6.0894 9.7768
0.7206 3.7689 3.2938
-9.2673 4.3811 7.4931
-6.4773 4.3648 4.0839
0.9578 9.0364 9.6577
-0.7003 7.1799 11.9599
-4.4916 7.3567 11.6334
-5.0361 4.6475 13.2134
0.7737 5.2366 9.3647
-5.0893 3.1799 7.1425
-2.5656 8.0556 12.0720
-5.5810 -0.2930 8.8962
-3.0573 4.5828 13.8257
-1.7500 0.3608 4.4352
-1.2582 3.8337 2.6815
1.2655 8.7094 7.6110
-1.0174 1.1297 8.7817
-5.6642 1.9855 2.8689
0.0000 0.0000 0.0000
2.3661 5.3012 4.8565
```

Properties
magnetization = 0.00 μB/f.u.
energy = -5.874 eV/atom

***

(6)
VASP calculation (SCAN) on a PBEsol-optimized structure of MgH4Cl2O2.

Cell and atoms, written as POSCAR:
```
MgH4Cl2O2
1.0
3.6407 0.0931 0.1015
-0.8828 5.5345 -0.1664
-0.8828 -0.6460 5.4992
H Cl O Mg
4 2 2 1
Cartesian
2.3337 0.9123 3.3442
2.3337 3.2524 1.1990
-0.4586 4.0693 2.0901
-0.4586 1.7291 4.2353
0.1752 3.7502 4.0910
1.6998 1.2314 1.3433
-0.8828 0.8376 4.1392
-0.8828 4.0509 1.1936
0.0000 0.0000 0.0000
```

Properties
magnetization = 0.00 μB/f.u.
energy = -6.697 eV/atom

***

(7)
VASP calculation (SCAN) on a PBEsol-optimized structure of MnHCl3.

Cell and atoms, written as POSCAR:
```
MnHCl3
1.0
4.6693 0.0000 0.0000
0.0000 4.6693 0.0000
0.0000 0.0000 4.6693
Mn Cl H
1 3 1
Cartesian
0.0000 0.0000 0.0000
2.3346 0.0000 0.0000
0.0000 0.0000 2.3346
0.0000 2.3346 0.0000
2.3346 2.3346 2.3346
```

Properties
magnetization = 4.99 μB/f.u.
energy = -9.578 eV/atom

***

(8)
VASP calculation (SCAN) on a PBEsol-optimized structure of MnH2Cl2.

Cell and atoms, written as POSCAR:
```
MnH2Cl2
1.0
3.1806 0.1093 0.1188
-0.2693 4.7151 0.0800
-0.2693 -0.3121 4.7055
Cl H Mn
2 2 1
Cartesian
1.5117 1.1204 1.2177
1.1303 3.3920 3.6866
-0.2693 0.9026 3.5878
-0.2693 3.5004 1.1977
0.0000 0.0000 0.0000
```

Properties
magnetization = 3.04 μB/f.u.
energy = -8.473 eV/atom